Entry 1:
# Na12Bi3Cl5 (PBE-GGA, optimized geometry)
# - Crystal system: cubic
# - Formation energy from raw total energies: -0.95 eV per atom
# - V: 5198.7 Å³ per cell
data_Na12Bi3Cl5
_space_group_name_H-M_alt 'I a -3 d'
_space_group_IT_number 230
_space_group_name_Hall '-I 4bd 2c 3'
_cell_length_a 17.3233
_cell_length_b 17.3233
_cell_length_c 17.3233
_cell_angle_alpha 90.00
_cell_angle_beta 90.00
_cell_angle_gamma 90.00
loop_
_atom_site_label
_atom_site_type_symbol
_atom_site_fract_x
_atom_site_fract_y
_atom_site_fract_z
Na1 Na 0.0226 0.0643 0.6528
Bi1 Bi 0.0000 0.2500 0.1250
Cl1 Cl 0.0000 0.0000 0.0000
Cl2 Cl 0.0000 0.2500 0.3750

Entry 2:
# RbGa3Ge2 (PBE-GGA, optimized geometry)
# - Energy of formation from the pure elements: -47 meV per atom
# - Crystal system: monoclinic
# - Offset from the most stable computed form: 0.0 meV per atom
# - V: 621.7 Å³ per cell
data_RbGa3Ge2
_space_group_name_H-M_alt 'C 1 2/m 1'
_space_group_IT_number 12
_cell_length_a 17.5997
_cell_length_b 4.4309
_cell_length_c 8.7232
_cell_angle_alpha 90.00
_cell_angle_beta 113.96
_cell_angle_gamma 90.00
loop_
_space_group_symop_operation_xyz
'x,y,z'
'-x,-y,-z'
'-x,y,-z'
'x,-y,z'
'x+1/2,y+1/2,z'
'-x+1/2,-y+1/2,-z'
'-x+1/2,y+1/2,-z'
'x+1/2,-y+1/2,z'
loop_
_atom_site_label
_atom_site_type_symbol
_atom_site_fract_x
_atom_site_fract_y
_atom_site_fract_z
Rb1 Rb 0.1351 0.0000 0.0455
Ga1 Ga 0.0505 0.0000 0.4154
Ga2 Ga 0.0953 0.5000 0.6459
Ga3 Ga 0.1905 0.5000 0.4571
Ge1 Ge 0.0258 0.5000 0.2444
Ge2 Ge 0.1992 0.0000 0.6818

Calculated density (computed, g/cm3): 2.8, 4.7
Total energy (computed, eV per cell): -446.06, -78.26